CdFeO3 after structural relaxation. Source: Alexandria via LeMat-Bulk, functional PBE with a Hubbard U.

a b c (Å): 4.0361 4.0361 4.0361
angles (deg): 90.00 90.00 90.00
With the nearest neighbours (Å) after each atom.
Space group Pm-3m (No. 221)
One atom of each set of equivalent atoms:
Cd  0.0000  0.0000  0.0000  6 O 2.02
Fe  0.5000  0.5000  0.5000  12 O 2.85
O  0.0000  0.0000  0.5000  2 Cd 2.02

Values from the calculation:
Its total DFT energy (no corrections) is -3.966 eV/atom.